## Li2HfSi (PBE-GGA)

Data for Li2HfSi after structural relaxation.

Calculated values
ΔE_f (raw) ... -0.03 eV/atom
Space group ... No. 122
Total magnetic moment ... 0.10 μB/atom

Unit cell a=3.752 b=3.752 c=10.673 alpha=79.88 beta=79.88 gamma=90.00
Atoms (fractional coordinates):
Si 0.500 0.500 0.000
Si 0.250 0.750 0.500
Li 0.875 0.844 0.750
Li 0.594 0.125 0.250
Li 0.156 0.625 0.250
Li 0.375 0.406 0.750
Hf 0.750 0.250 0.500
Hf 0.000 0.000 0.000

## LiHf2Si (PBE-GGA)

Data for LiHf2Si after structural relaxation.

Calculated values
ΔE_f (raw) ... 0.18 eV/atom
Space group ... No. 122
Total magnetic moment ... 0.00 μB/atom

Unit cell a=7.348 b=7.348 c=5.879 alpha=51.32 beta=51.32 gamma=90.00
Atoms (fractional coordinates):
Si 0.750 0.250 0.500
Si 0.000 0.000 0.000
Hf 0.375 0.371 0.750
Hf 0.121 0.625 0.250
Hf 0.629 0.125 0.250
Hf 0.875 0.879 0.750
Li 0.250 0.750 0.500
Li 0.500 0.500 0.000

## LiSmHf (PBE-GGA)

Data for LiSmHf after structural relaxation.

Calculated values
Offset from the most stable computed form ... 0.000 eV per atom
E_form ... 99 meV/atom
Space group ... No. 129
Total magnetic moment ... 0.00 μB/atom

Unit cell a=3.258 b=3.258 c=14.469 alpha=90.00 beta=90.00 gamma=90.00
Atoms (fractional coordinates):
Sm 0.500 0.000 0.746
Sm 0.000 0.500 0.254
Hf 0.500 0.000 0.428
Hf 0.000 0.500 0.572
Li 0.000 0.500 0.931
Li 0.500 0.000 0.069

## LiSmHf (PBE-GGA)

Data for LiSmHf after structural relaxation.

Calculated values
Offset from the most stable computed form ... 0.122 eV per atom
E_form ... 221 meV/atom
Space group ... No. 107
Total magnetic moment ... 0.00 μB/atom

Unit cell a=3.336 b=3.336 c=7.105 alpha=103.58 beta=103.58 gamma=90.00
Atoms (fractional coordinates):
Sm 0.006 0.006 0.011
Li 0.323 0.323 0.647
Hf 0.671 0.671 0.342

## Li4Sm3HfTe8 (PBE-GGA)

Data for Li4Sm3HfTe8 after structural relaxation.

Calculated values
ΔE_f (raw) ... -1.16 eV/atom
Space group ... No. 166
Total magnetic moment ... 0.00 μB/atom

Unit cell a=8.622 b=8.665 c=8.622 alpha=119.85 beta=120.00 gamma=90.00
Atoms (fractional coordinates):
Te 0.758 0.246 0.516
Te 0.770 0.754 0.012
Te 0.242 0.754 0.484
Te 0.242 0.754 0.012
Te 0.758 0.246 0.988
Te 0.755 0.766 0.511
Te 0.230 0.246 0.988
Te 0.245 0.234 0.489
Sm 0.000 0.500 0.500
Sm 0.500 0.500 0.000
Sm 0.500 0.500 0.500
Hf 0.000 0.500 0.000
Li 0.000 0.000 0.000
Li 0.500 0.000 0.000
Li 0.500 0.000 0.500
Li 0.000 0.000 0.500

## LiHf2Sn (PBE-GGA)

Data for LiHf2Sn after structural relaxation.

Calculated values
E_form ... -135 meV/atom
Space group ... No. 123
Total magnetic moment ... 0.00 μB/atom

Unit cell a=4.352 b=4.313 c=4.313 alpha=90.00 beta=90.00 gamma=90.00
Atoms (fractional coordinates):
Hf 0.000 0.000 0.500
Hf 0.000 0.500 0.000
Li 0.500 0.000 0.000
Sn 0.500 0.500 0.500